MgIn4Ag: relaxed, GGA-PBE.

It has space group F-43m (No. 216), with a = 8.596 Å, b = 8.596 Å, c = 8.596 Å, α = 90.00°, β = 90.00° and γ = 90.00°. The distinct sites, in fractional coordinates, are Mg at (0.000, 0.000, 0.000), In at (0.125, 0.125, 0.375) and Ag at (0.250, 0.250, 0.750).

The energy of formation is 0.2212 eV/atom. The calculation puts the total moment at 0.00 μB/f.u. For the energy relative to the lowest polymorph listed for this composition, the calculation gives 263.1 meV/atom. The density of states at the Fermi level is 11.3 states/eV per cell.